Density functional theory data (PBE-GGA) for a relaxed TmTlCd crystal. Values from VASP.

Cell and atoms, written as Quantum ESPRESSO input:
```
&SYSTEM
  ibrav = 0, nat = 3, ntyp = 3
/
ATOMIC_SPECIES
Tl 204.38 Tl.upf
Cd 112.41 Cd.upf
Tm 168.93 Tm.upf
CELL_PARAMETERS angstrom
0.000 3.468 3.468
3.468 0.000 3.468
3.468 3.468 0.000
ATOMIC_POSITIONS crystal
Tl 0.000 0.000 0.000
Cd 0.250 0.250 0.250
Tm 0.750 0.750 0.750
```

## Properties
The calculation puts the total moment at 0.000 μB per atom. The value obtained for the volume is 83.4 Å³ per cell. For the total energy, the calculation gives -2.717 eV per atom.